Entry 1:
! ZrRhSeBr2 GGA-PBE relaxed; values from VASP
! - symmetry = No. 123
! - N(E_F) (states/eV per cell) = 6.7
! - ΔE to the lowest computed polymorph (meV per atom) = 155.9
&SYSTEM
  ibrav = 0, nat = 5, ntyp = 4
/
ATOMIC_SPECIES
Br 79.90 Br.upf
Rh 102.91 Rh.upf
Se 78.96 Se.upf
Zr 91.22 Zr.upf
CELL_PARAMETERS angstrom
-0.452 -3.074 -3.814
4.898 -0.318 -0.324
-0.046 -3.902 3.150
ATOMIC_POSITIONS angstrom
Br -0.226 -1.537 -1.907
Br 2.449 -0.159 -0.162
Rh 0.000 0.000 0.000
Se -0.023 -1.951 1.575
Zr 2.200 -3.647 -0.494

=====

Entry 2:
! ZrRhSeBr2 GGA-PBE relaxed; values from VASP
! - symmetry = No. 123
! - N(E_F) (states/eV per cell) = 4.6
! - ΔE to the lowest computed polymorph (meV per atom) = 0.0
&SYSTEM
  ibrav = 0, nat = 5, ntyp = 4
/
ATOMIC_SPECIES
Br 79.90 Br.upf
Se 78.96 Se.upf
Rh 102.91 Rh.upf
Zr 91.22 Zr.upf
CELL_PARAMETERS angstrom
5.300 0.000 0.000
0.000 5.300 0.000
0.000 0.000 5.226
ATOMIC_POSITIONS angstrom
Br 2.650 0.000 0.000
Br 0.000 2.650 0.000
Se 0.000 0.000 2.613
Rh 2.650 2.650 2.613
Zr 0.000 0.000 0.000

=====

Entry 3:
! SiRh4Br GGA-PBE relaxed; values from VASP
! - symmetry = No. 216
! - N(E_F) (states/eV per cell) = 10.5
&SYSTEM
  ibrav = 0, nat = 6, ntyp = 3
/
ATOMIC_SPECIES
Br 79.90 Br.upf
Rh 102.91 Rh.upf
Si 28.09 Si.upf
CELL_PARAMETERS angstrom
3.748 -3.481 -1.042
-0.238 -4.788 2.066
-1.030 -4.110 -3.049
ATOMIC_POSITIONS angstrom
Br 0.000 0.000 0.000
Rh 0.418 -6.695 -2.280
Rh 2.799 -6.382 -1.279
Rh 0.931 -4.647 -0.760
Rh 0.813 -7.033 0.269
Si 1.860 -9.284 -1.519

=====

Entry 4:
! SiRhBr3 GGA-PBE relaxed; values from VASP
! - symmetry = No. 221
! - N(E_F) (states/eV per cell) = 5.4
! - ΔE to the lowest computed polymorph (meV per atom) = 0.0
&SYSTEM
  ibrav = 0, nat = 5, ntyp = 3
/
ATOMIC_SPECIES
Rh 102.91 Rh.upf
Br 79.90 Br.upf
Si 28.09 Si.upf
CELL_PARAMETERS angstrom
-4.434 1.503 1.856
-2.325 -3.611 -2.631
0.546 -3.173 3.873
ATOMIC_POSITIONS angstrom
Rh 0.000 0.000 0.000
Br -2.217 0.751 0.928
Br 0.273 -1.586 1.936
Br -1.162 -1.805 -1.315
Si -3.106 -2.641 1.549

=====

Entry 5:
! SiRhBr3 GGA-PBE relaxed; values from VASP
! - symmetry = No. 221
! - N(E_F) (states/eV per cell) = 16.5
! - ΔE to the lowest computed polymorph (meV per atom) = 157.2
&SYSTEM
  ibrav = 0, nat = 5, ntyp = 3
/
ATOMIC_SPECIES
Rh 102.91 Rh.upf
Si 28.09 Si.upf
Br 79.90 Br.upf
CELL_PARAMETERS angstrom
-0.639 -0.051 5.139
-1.927 -4.798 -0.287
4.764 -1.948 0.573
ATOMIC_POSITIONS angstrom
Rh 1.099 -3.398 2.712
Si 0.000 0.000 0.000
Br -0.320 -0.025 2.569
Br -0.964 -2.399 -0.144
Br 2.382 -0.974 0.287

=====

Entry 6:
! Si4RhBr GGA-PBE relaxed; values from VASP
! - symmetry = No. 216
! - N(E_F) (states/eV per cell) = 3.3
&SYSTEM
  ibrav = 0, nat = 6, ntyp = 3
/
ATOMIC_SPECIES
Br 79.90 Br.upf
Si 28.09 Si.upf
Rh 102.91 Rh.upf
CELL_PARAMETERS angstrom
-4.125 -3.142 -0.514
-4.290 1.706 -2.416
-1.272 -1.883 -4.689
ATOMIC_POSITIONS angstrom
Br -7.265 -2.489 -5.715
Si -5.775 -0.395 -4.065
Si -4.270 -2.185 -5.199
Si -5.693 -2.813 -3.116
Si -3.635 -1.246 -2.860
Rh 0.000 0.000 0.000

=====

Entry 7:
! Sm8Si3RhBr4 GGA-PBE relaxed; values from VASP
! - symmetry = No. 166
! - N(E_F) (states/eV per cell) = 9.8
&SYSTEM
  ibrav = 0, nat = 16, ntyp = 4
/
ATOMIC_SPECIES
Sm 150.36 Sm.upf
Br 79.90 Br.upf
Rh 102.91 Rh.upf
Si 28.09 Si.upf
CELL_PARAMETERS angstrom
-1.295 4.226 7.177
-7.699 -4.026 0.982
6.946 -4.683 -0.938
ATOMIC_POSITIONS angstrom
Sm 1.038 -6.420 1.437
Sm 0.463 -0.454 5.301
Sm 1.089 -2.513 1.676
Sm -2.512 -4.029 1.920
Sm -3.137 -1.971 5.544
Sm -2.424 -0.224 2.114
Sm 0.376 -4.259 5.106
Sm -3.086 1.936 5.783
Br 3.473 -2.342 -0.469
Br 2.826 -0.229 3.119
Br -0.647 2.113 3.588
Br 0.000 0.000 0.000
Rh -3.850 -2.013 0.491
Si -1.024 -2.242 3.610
Si -4.497 0.100 4.079
Si -0.377 -4.355 0.022

=====

Entry 8:
! SiSn2RhBr GGA-PBE relaxed; values from VASP
! - symmetry = No. 123
! - N(E_F) (states/eV per cell) = 5.6
&SYSTEM
  ibrav = 0, nat = 5, ntyp = 4
/
ATOMIC_SPECIES
Si 28.09 Si.upf
Br 79.90 Br.upf
Sn 118.71 Sn.upf
Rh 102.91 Rh.upf
CELL_PARAMETERS angstrom
5.433 0.000 0.000
0.000 4.834 0.000
0.000 0.000 5.433
ATOMIC_POSITIONS angstrom
Si 0.000 2.417 0.000
Br 0.000 0.000 0.000
Sn 2.716 0.000 0.000
Sn 0.000 0.000 2.716
Rh 2.716 2.417 2.716

=====

Entry 9:
! SiRhWBr2 GGA-PBE relaxed; values from VASP
! - symmetry = No. 123
! - N(E_F) (states/eV per cell) = 3.7
&SYSTEM
  ibrav = 0, nat = 5, ntyp = 4
/
ATOMIC_SPECIES
Rh 102.91 Rh.upf
Br 79.90 Br.upf
W 183.84 W.upf
Si 28.09 Si.upf
CELL_PARAMETERS angstrom
-1.779 2.422 3.974
-0.368 -4.285 2.446
4.639 0.584 1.721
ATOMIC_POSITIONS angstrom
Rh 0.000 0.000 0.000
Br 2.319 0.292 0.861
Br -0.890 1.211 1.987
W -0.184 -2.142 1.223
Si 1.245 -0.640 4.071

=====

Entry 10:
! ZnSi2RhBr GGA-PBE relaxed; values from VASP
! - symmetry = No. 123
! - N(E_F) (states/eV per cell) = 4.1
&SYSTEM
  ibrav = 0, nat = 5, ntyp = 4
/
ATOMIC_SPECIES
Zn 65.41 Zn.upf
Si 28.09 Si.upf
Rh 102.91 Rh.upf
Br 79.90 Br.upf
CELL_PARAMETERS angstrom
-0.548 -2.385 -4.356
4.317 1.228 -1.215
1.774 -4.188 2.070
ATOMIC_POSITIONS angstrom
Zn 2.772 -2.672 -1.751
Si -0.274 -1.193 -2.178
Si 0.887 -2.094 1.035
Rh 2.158 0.614 -0.607
Br 0.000 0.000 0.000

=====

Entry 11:
! SmRhBr GGA-PBE relaxed; values from VASP
! - symmetry = No. 166
! - N(E_F) (states/eV per cell) = 1.3
&SYSTEM
  ibrav = 0, nat = 6, ntyp = 3
/
ATOMIC_SPECIES
Rh 102.91 Rh.upf
Sm 150.36 Sm.upf
Br 79.90 Br.upf
CELL_PARAMETERS angstrom
-3.222 -2.102 -1.934
0.052 -4.301 -0.207
-6.332 -2.649 8.637
ATOMIC_POSITIONS angstrom
Rh -5.787 -6.658 2.497
Rh -3.716 -2.394 3.999
Sm -3.850 -4.438 1.651
Sm -5.652 -4.614 4.845
Br -7.597 -6.834 5.705
Br -1.906 -2.217 0.791

=====

Entry 12:
! SmRhBr6 GGA-PBE relaxed; values from VASP
! - symmetry = No. 148
&SYSTEM
  ibrav = 0, nat = 8, ntyp = 3
/
ATOMIC_SPECIES
Rh 102.91 Rh.upf
Br 79.90 Br.upf
Sm 150.36 Sm.upf
CELL_PARAMETERS angstrom
6.720 0.010 0.011
3.354 5.824 0.014
3.350 1.936 6.125
ATOMIC_POSITIONS angstrom
Rh 0.000 0.000 0.000
Br 5.607 1.756 1.455
Br 4.310 3.774 4.686
Br 8.002 1.859 4.689
Br 7.816 6.013 4.694
Br 5.421 5.910 1.461
Br 9.113 3.995 1.464
Sm 6.712 3.885 3.075

=====

Entry 13:
! Sm2RhBr GGA-PBE relaxed; values from VASP
! - symmetry = No. 160
! - N(E_F) (states/eV per cell) = 0.5
! - ΔE to the lowest computed polymorph (meV per atom) = 16.3
&SYSTEM
  ibrav = 0, nat = 4, ntyp = 3
/
ATOMIC_SPECIES
Rh 102.91 Rh.upf
Sm 150.36 Sm.upf
Br 79.90 Br.upf
CELL_PARAMETERS angstrom
4.065 0.000 0.000
2.033 3.521 0.000
2.033 1.174 7.843
ATOMIC_POSITIONS angstrom
Rh 6.098 3.521 7.827
Sm 2.033 1.174 6.309
Sm 2.033 1.174 1.497
Br 4.065 2.347 3.975

=====

Entry 14:
! Sm2RhBr GGA-PBE relaxed; values from VASP
! - symmetry = No. 123
! - N(E_F) (states/eV per cell) = 2.2
! - ΔE to the lowest computed polymorph (meV per atom) = 182.3
&SYSTEM
  ibrav = 0, nat = 4, ntyp = 3
/
ATOMIC_SPECIES
Br 79.90 Br.upf
Rh 102.91 Rh.upf
Sm 150.36 Sm.upf
CELL_PARAMETERS angstrom
3.458 0.000 0.000
0.000 3.458 0.000
0.000 0.000 8.263
ATOMIC_POSITIONS angstrom
Br 1.729 1.729 4.132
Rh 1.729 1.729 0.000
Sm 0.000 0.000 6.524
Sm 0.000 0.000 1.739

=====

Entry 15:
! SmRhBr GGA-PBE relaxed; values from VASP
! - symmetry = No. 12
! - N(E_F) (states/eV per cell) = 4.4
&SYSTEM
  ibrav = 0, nat = 12, ntyp = 3
/
ATOMIC_SPECIES
Rh 102.91 Rh.upf
Sm 150.36 Sm.upf
Br 79.90 Br.upf
CELL_PARAMETERS angstrom
-2.330 -3.233 0.200
6.171 -4.306 2.264
-2.103 4.616 10.294
ATOMIC_POSITIONS angstrom
Rh 2.198 -1.185 6.427
Rh -0.852 0.957 5.537
Rh 2.589 -3.881 7.221
Rh -0.460 -1.739 6.331
Sm 1.499 -3.252 4.685
Sm 0.239 0.328 8.073
Sm -1.565 -1.100 3.791
Sm 3.302 -1.824 8.966
Br -1.807 1.882 9.369
Br 3.544 -4.806 3.389
Br 1.415 -0.853 2.693
Br 0.322 -2.071 10.065

=====

Entry 16:
! Sm2RhBr GGA-PBE relaxed; values from VASP
! - symmetry = No. 166
! - N(E_F) (states/eV per cell) = 0.9
! - ΔE to the lowest computed polymorph (meV per atom) = 0.0
&SYSTEM
  ibrav = 0, nat = 4, ntyp = 3
/
ATOMIC_SPECIES
Sm 150.36 Sm.upf
Rh 102.91 Rh.upf
Br 79.90 Br.upf
CELL_PARAMETERS angstrom
4.074 0.000 -0.004
-2.036 3.528 0.004
-2.032 -1.179 7.768
ATOMIC_POSITIONS angstrom
Sm 0.004 -0.002 6.254
Sm 0.002 2.351 1.515
Rh 2.042 -1.179 7.764
Br -2.034 1.175 3.886

=====

Entry 17:
! Sm4Rh2Br5 GGA-PBE relaxed; values from VASP
! - symmetry = No. 71
! - N(E_F) (states/eV per cell) = 6.1
&SYSTEM
  ibrav = 0, nat = 11, ntyp = 3
/
ATOMIC_SPECIES
Sm 150.36 Sm.upf
Rh 102.91 Rh.upf
Br 79.90 Br.upf
CELL_PARAMETERS angstrom
3.722 0.000 0.000
0.000 9.375 0.000
-1.861 -4.687 9.181
ATOMIC_POSITIONS angstrom
Sm 0.000 0.000 6.042
Sm 0.000 6.633 0.000
Sm 1.861 4.687 3.139
Sm 0.000 2.741 0.000
Rh 1.861 4.687 5.564
Rh 0.000 0.000 3.617
Br 1.861 -2.334 6.296
Br 1.861 2.334 6.296
Br 1.861 0.000 0.000
Br 0.000 2.353 2.884
Br 0.000 7.021 2.884

=====

Entry 18:
! Sm4Te2RhBr GGA-PBE relaxed; values from VASP
! - symmetry = No. 10
! - N(E_F) (states/eV per cell) = 5.5
&SYSTEM
  ibrav = 0, nat = 8, ntyp = 4
/
ATOMIC_SPECIES
Rh 102.91 Rh.upf
Br 79.90 Br.upf
Te 127.60 Te.upf
Sm 150.36 Sm.upf
CELL_PARAMETERS angstrom
-0.454 1.256 -3.981
2.312 -6.909 -2.443
-6.137 -4.423 -0.696
ATOMIC_POSITIONS angstrom
Rh -1.912 -5.666 -1.569
Br 0.929 -2.827 -3.212
Te -3.295 -1.584 -2.338
Te -6.137 -4.423 -0.696
Sm -0.361 -5.565 -3.929
Sm -3.917 -4.512 -3.191
Sm -1.475 -1.752 -4.813
Sm -2.804 -8.325 -2.306

=====

Entry 19:
! SmThRhBr GGA-PBE relaxed; values from VASP
! - symmetry = No. 160
! - N(E_F) (states/eV per cell) = 2.9
&SYSTEM
  ibrav = 0, nat = 4, ntyp = 4
/
ATOMIC_SPECIES
Th 232.04 Th.upf
Sm 150.36 Sm.upf
Rh 102.91 Rh.upf
Br 79.90 Br.upf
CELL_PARAMETERS angstrom
4.130 0.000 0.000
-2.064 3.576 0.000
-2.065 -1.191 7.937
ATOMIC_POSITIONS angstrom
Th -1.674 3.314 0.417
Sm 0.390 -0.261 5.357
Rh -1.674 0.931 6.959
Br 2.455 0.932 2.901

=====

Entry 20:
! Sn2RhBr GGA-PBE relaxed; values from VASP
! - symmetry = No. 225
! - N(E_F) (states/eV per cell) = 1.8
! - ΔE to the lowest computed polymorph (meV per atom) = 288.2
&SYSTEM
  ibrav = 0, nat = 4, ntyp = 3
/
ATOMIC_SPECIES
Br 79.90 Br.upf
Rh 102.91 Rh.upf
Sn 118.71 Sn.upf
CELL_PARAMETERS angstrom
-1.311 2.529 4.150
-0.732 4.975 -0.211
-4.648 1.881 0.438
ATOMIC_POSITIONS angstrom
Br 0.000 0.000 0.000
Rh -3.346 4.693 2.188
Sn -1.673 2.346 1.094
Sn -5.018 7.039 3.282

=====

Entry 21:
! Sn3RhBr GGA-PBE relaxed; values from VASP
! - symmetry = No. 221
! - N(E_F) (states/eV per cell) = 3.3
! - ΔE to the lowest computed polymorph (meV per atom) = 0.0
&SYSTEM
  ibrav = 0, nat = 5, ntyp = 3
/
ATOMIC_SPECIES
Sn 118.71 Sn.upf
Rh 102.91 Rh.upf
Br 79.90 Br.upf
CELL_PARAMETERS angstrom
5.188 0.000 0.000
0.000 5.188 0.000
0.000 0.000 5.188
ATOMIC_POSITIONS angstrom
Sn 0.000 0.000 2.594
Sn 0.000 2.594 0.000
Sn 2.594 0.000 0.000
Rh 0.000 0.000 0.000
Br 2.594 2.594 2.594

=====

Entry 22:
! Sn3RhBr GGA-PBE relaxed; values from VASP
! - symmetry = No. 221
! - N(E_F) (states/eV per cell) = 5.8
! - ΔE to the lowest computed polymorph (meV per atom) = 1280.5
&SYSTEM
  ibrav = 0, nat = 5, ntyp = 3
/
ATOMIC_SPECIES
Br 79.90 Br.upf
Rh 102.91 Rh.upf
Sn 118.71 Sn.upf
CELL_PARAMETERS angstrom
5.425 0.000 0.000
0.000 5.425 0.000
0.000 0.000 5.425
ATOMIC_POSITIONS angstrom
Br 0.000 0.000 0.000
Rh 2.713 2.713 2.713
Sn 0.000 0.000 2.713
Sn 2.713 0.000 0.000
Sn 0.000 2.713 0.000

=====

Entry 23:
! Sn2RhBr GGA-PBE relaxed; values from VASP
! - symmetry = No. 122
! - N(E_F) (states/eV per cell) = 1.7
! - ΔE to the lowest computed polymorph (meV per atom) = 0.0
&SYSTEM
  ibrav = 0, nat = 8, ntyp = 3
/
ATOMIC_SPECIES
Sn 118.71 Sn.upf
Br 79.90 Br.upf
Rh 102.91 Rh.upf
CELL_PARAMETERS angstrom
-2.104 1.054 -6.159
-2.353 -6.154 -0.249
-7.602 -0.584 -1.032
ATOMIC_POSITIONS angstrom
Sn -3.473 -3.941 -0.711
Sn -7.192 -1.879 -3.158
Sn -3.671 -0.176 -4.611
Sn -9.782 -5.372 -6.400
Br -6.092 -4.644 -2.243
Br -2.228 -2.550 -3.204
Rh 0.000 0.000 0.000
Rh -5.967 -1.040 -5.197

=====

Entry 24:
! SnRhBr GGA-PBE relaxed; values from VASP
! - symmetry = No. 64
! - N(E_F) (states/eV per cell) = 11.9
&SYSTEM
  ibrav = 0, nat = 12, ntyp = 3
/
ATOMIC_SPECIES
Rh 102.91 Rh.upf
Sn 118.71 Sn.upf
Br 79.90 Br.upf
CELL_PARAMETERS angstrom
5.802 0.000 -0.096
0.000 6.369 0.000
-2.777 0.000 7.718
ATOMIC_POSITIONS angstrom
Rh 0.047 1.591 2.931
Rh 2.948 1.593 2.883
Rh 0.077 4.776 4.739
Rh 2.978 4.778 4.691
Sn 1.491 4.039 2.535
Sn -1.367 0.855 5.135
Sn 4.392 5.515 2.487
Sn 1.534 2.330 5.087
Br 4.369 2.735 1.007
Br 1.468 0.450 1.055
Br -1.344 3.634 6.615
Br 1.557 5.920 6.567

=====

Entry 25:
! Sn2RhBr2 GGA-PBE relaxed; values from VASP
! - symmetry = No. 127
! - N(E_F) (states/eV per cell) = 4.7
! - ΔE to the lowest computed polymorph (meV per atom) = 0.0
&SYSTEM
  ibrav = 0, nat = 10, ntyp = 3
/
ATOMIC_SPECIES
Rh 102.91 Rh.upf
Sn 118.71 Sn.upf
Br 79.90 Br.upf
CELL_PARAMETERS angstrom
7.396 0.000 0.000
0.000 7.396 0.000
0.000 0.000 5.390
ATOMIC_POSITIONS angstrom
Rh 0.000 0.000 0.000
Rh 3.698 3.698 0.000
Sn 1.951 5.648 0.000
Sn 1.747 1.951 0.000
Sn 5.648 5.445 0.000
Sn 5.445 1.747 0.000
Br 2.427 1.270 2.695
Br 4.968 6.125 2.695
Br 1.270 4.968 2.695
Br 6.125 2.427 2.695

=====

Entry 26:
! Sn2RhBr2 GGA-PBE relaxed; values from VASP
! - symmetry = No. 139
! - N(E_F) (states/eV per cell) = 3.6
! - ΔE to the lowest computed polymorph (meV per atom) = 641.7
&SYSTEM
  ibrav = 0, nat = 5, ntyp = 3
/
ATOMIC_SPECIES
Rh 102.91 Rh.upf
Br 79.90 Br.upf
Sn 118.71 Sn.upf
CELL_PARAMETERS angstrom
-4.134 1.772 -0.262
-0.681 -2.164 -3.893
-4.980 -5.680 1.422
ATOMIC_POSITIONS angstrom
Rh 0.000 0.000 0.000
Br -4.034 -4.020 -2.274
Br -5.761 -2.052 -0.458
Sn -2.952 -1.357 -1.336
Sn -6.843 -4.715 -1.396

=====

Number 1: formation energy without anion corrections 0.19 eV/atom. Number 2: formation energy without anion corrections 0.03 eV/atom. Number 3: formation energy without anion corrections 0.72 eV/atom. Number 4: formation energy without anion corrections 0.38 eV/atom. Number 5: formation energy without anion corrections 0.54 eV/atom. Number 6: formation energy without anion corrections 0.66 eV/atom. Number 7: formation energy without anion corrections -1.03 eV/atom. Number 8: formation energy without anion corrections 1.29 eV/atom. Number 9: formation energy without anion corrections 1.36 eV/atom. Number 10: formation energy without anion corrections 1.30 eV/atom. Number 11: formation energy without anion corrections -1.22 eV/atom. Number 12: formation energy without anion corrections -1.01 eV/atom. Number 13: formation energy without anion corrections -1.07 eV/atom. Number 14: formation energy without anion corrections -0.90 eV/atom. Number 15: formation energy without anion corrections -1.01 eV/atom. Number 16: formation energy without anion corrections -1.08 eV/atom. Number 17: formation energy without anion corrections -0.71 eV/atom. Number 18: formation energy without anion corrections -1.16 eV/atom. Number 19: formation energy without anion corrections -1.00 eV/atom. Number 20: formation energy without anion corrections 0.21 eV/atom. Number 21: formation energy without anion corrections -0.18 eV/atom. Number 22: formation energy without anion corrections 1.10 eV/atom. Number 23: formation energy without anion corrections -0.08 eV/atom. Number 24: formation energy without anion corrections -0.12 eV/atom. Number 25: formation energy without anion corrections -0.14 eV/atom. Number 26: formation energy without anion corrections 0.51 eV/atom.